# 1
{"formula": "LiMg5Ga2", "functional": "GGA-PBE", "state": "optimized geometry", "rho_g_cm3": 2.751, "dft_energy_ev_per_cell": -33.36, "lattice_angstrom": [[2.244, -5.046, 0.000], [2.244, 5.046, 0.000], [0.000, 0.000, 14.284]], "species": ["Li", "Li", "Mg", "Mg", "Mg", "Mg", "Mg", "Mg", "Mg", "Mg", "Mg", "Mg", "Ga", "Ga", "Ga", "Ga"], "frac_coords": [[0.232, 0.768, 0.750], [0.768, 0.232, 0.250], [0.053, 0.947, 0.601], [0.053, 0.947, 0.899], [0.354, 0.646, 0.543], [0.354, 0.646, 0.957], [0.492, 0.508, 0.250], [0.508, 0.492, 0.750], [0.646, 0.354, 0.043], [0.646, 0.354, 0.457], [0.947, 0.053, 0.101], [0.947, 0.053, 0.399], [0.236, 0.764, 0.149], [0.236, 0.764, 0.351], [0.764, 0.236, 0.649], [0.764, 0.236, 0.851]]}

# 2
{"formula": "Li4Mg5Ga", "functional": "GGA-PBE", "state": "optimized geometry", "rho_g_cm3": 1.558, "dft_energy_ev_per_cell": -18.28, "lattice_angstrom": [[-4.689, 4.689, 2.653], [4.689, -4.689, 2.653], [4.689, 4.689, -2.653]], "species": ["Li", "Li", "Li", "Li", "Mg", "Mg", "Mg", "Mg", "Mg", "Ga"], "frac_coords": [[0.000, 0.297, 0.297], [0.000, 0.703, 0.703], [0.297, 0.000, 0.297], [0.703, 0.000, 0.703], [0.272, 0.272, 0.623], [0.272, 0.649, 0.000], [0.649, 0.272, 0.000], [0.649, 0.649, 0.377], [0.767, 0.767, 0.000], [0.251, 0.251, 0.000]]}

# 3
{"formula": "LiMg3Ga2", "functional": "GGA-PBE", "state": "optimized geometry", "rho_g_cm3": 3.092, "dft_energy_ev_per_cell": -27.27, "lattice_angstrom": [[7.140, -2.248, 0.000], [7.140, 2.248, 0.000], [-5.633, 0.000, 7.337]], "species": ["Li", "Li", "Mg", "Mg", "Mg", "Mg", "Mg", "Mg", "Ga", "Ga", "Ga", "Ga"], "frac_coords": [[0.105, 0.105, 0.037], [0.895, 0.895, 0.963], [0.033, 0.033, 0.362], [0.277, 0.277, 0.417], [0.346, 0.346, 0.137], [0.654, 0.654, 0.863], [0.723, 0.723, 0.583], [0.967, 0.967, 0.638], [0.215, 0.215, 0.751], [0.432, 0.432, 0.812], [0.568, 0.568, 0.188], [0.785, 0.785, 0.249]]}